No. 1
CsMo3As GGA-PBEsol relaxed; magnetization = 0.0016 μB/atom; calculated total energy = -0.4790 Ry per atom; symmetry = Pm-3m, No. 221; formation energy from the elements = 1.753 eV per atom; crystal system = cubic
1.0
-3.7405 2.8101 -0.9116
-2.8737 -3.8020 0.0716
-0.6850 0.6058 4.6779
As Mo Cs
1 3 1
direct
0.0000 0.0000 0.0000
0.5000 0.0000 0.0000
0.0000 0.0000 0.5000
0.0000 0.5000 0.0000
0.5000 0.5000 0.5000


No. 2
CsAsN2 GGA-PBEsol relaxed; magnetization = 0.0003 μB/atom; E_form (uncorrected) = 628 meV per atom; calculated total energy = -0.3783 Ry per atom; symmetry = R-3m, No. 166; crystal system = trigonal
1.0
4.6594 0.0000 0.0000
2.3297 4.0352 0.0000
2.3297 1.3451 6.6057
Cs N As
1 2 1
direct
0.5000 0.5000 0.5000
0.9160 0.9160 0.2519
0.0840 0.0840 0.7481
0.0000 0.0000 0.0000


No. 3
CsAs2PN GGA-PBEsol relaxed; magnetization = 0.0000 μB/atom; E_form (uncorrected) = 950 meV per atom; calculated total energy = -0.3046 Ry per atom; symmetry = P4/mmm, No. 123; crystal system = tetragonal
1.0
-1.2670 -4.0667 -0.6569
2.4855 -1.3028 3.2710
-4.3499 0.7717 3.6125
As N Cs P
2 1 1 1
direct
0.5000 0.0000 0.0000
0.0000 0.5000 0.0000
0.0000 0.0000 0.0000
0.0000 0.0000 0.5000
0.5000 0.5000 0.5000


No. 4
Cs2NaAs GGA-PBEsol relaxed; magnetization = 0.0000 μB/atom; calculated total energy = -0.1602 Ry per atom; symmetry = Fm-3m, No. 225; formation energy from the elements = -0.082 eV per atom; crystal system = cubic
1.0
-0.9988 5.9094 -0.6928
-5.4135 2.3184 1.3105
-0.6762 3.5333 4.8433
Cs As Na
2 1 1
direct
0.7500 0.7500 0.7500
0.2500 0.2500 0.2500
0.5000 0.5000 0.5000
0.0000 0.0000 0.0000


No. 5
Cs2NaAs7 GGA-PBEsol relaxed; magnetization = 0.0000 μB/atom; calculated total energy = -0.3107 Ry per atom; symmetry = P2_1/c, No. 14; formation energy from the elements = -0.324 eV per atom; crystal system = monoclinic
1.0
10.1323 0.0000 0.0540
0.0000 10.7632 0.0000
0.0601 0.0000 11.8626
As Na Cs
28 4 8
direct
0.0136 0.9554 0.7491
0.8984 0.8586 0.3262
0.6655 0.1386 0.3880
0.1845 0.5785 0.4171
0.5136 0.5446 0.7491
0.2190 0.8473 0.7915
0.6845 0.9215 0.4171
0.3345 0.8614 0.6120
0.6815 0.8266 0.2228
0.1655 0.3614 0.3880
0.3291 0.0041 0.9037
0.6016 0.3586 0.6738
0.8185 0.3266 0.7772
0.2810 0.3473 0.2085
0.1815 0.6734 0.2228
0.1016 0.1414 0.6738
0.6709 0.9959 0.0963
0.8345 0.6386 0.6120
0.8291 0.4959 0.9037
0.8155 0.4215 0.5829
0.4864 0.4554 0.2509
0.1709 0.5041 0.0963
0.3155 0.0785 0.5829
0.3185 0.1734 0.7772
0.7810 0.1527 0.2085
0.9864 0.0446 0.2509
0.3984 0.6414 0.3262
0.7190 0.6527 0.7915
0.9436 0.1880 0.4637
0.0564 0.8120 0.5363
0.5564 0.6880 0.5363
0.4436 0.3120 0.4637
0.9580 0.7979 0.0127
0.8520 0.4986 0.2683
0.5420 0.2979 0.9873
0.4580 0.7021 0.0127
0.1480 0.5014 0.7317
0.0420 0.2021 0.9873
0.6480 0.9986 0.7317
0.3520 0.0014 0.2683


No. 6
CsNaAs3 GGA-PBEsol relaxed; magnetization = 0.0001 μB/atom; calculated total energy = -0.2162 Ry per atom; symmetry = Pm-3m, No. 221; formation energy from the elements = 0.591 eV per atom; crystal system = cubic
1.0
-3.6772 0.0726 -3.6982
-3.1244 -2.8524 3.0506
-1.9800 4.3661 2.0545
As Cs Na
3 1 1
direct
0.5000 0.0000 0.0000
0.0000 0.0000 0.5000
0.0000 0.5000 0.0000
0.5000 0.5000 0.5000
0.0000 0.0000 0.0000


No. 7
CsNb3As GGA-PBEsol relaxed; magnetization = 0.0003 μB/atom; calculated total energy = -0.4754 Ry per atom; symmetry = Pm-3m, No. 221; formation energy from the elements = 1.234 eV per atom; crystal system = cubic
1.0
-2.8766 3.6544 1.5994
-3.1300 -3.2902 1.8882
2.4731 0.0865 4.2501
As Nb Cs
1 3 1
direct
0.0000 0.0000 0.0000
0.5000 0.0000 0.0000
0.0000 0.5000 0.0000
0.0000 0.0000 0.5000
0.5000 0.5000 0.5000


No. 8
CsNbAs3 GGA-PBEsol relaxed; magnetization = 0.4443 μB/atom; calculated total energy = -0.2343 Ry per atom; symmetry = Pm-3m, No. 221; formation energy from the elements = 2.229 eV per atom; crystal system = cubic
1.0
5.3348 0.0000 0.0000
0.0000 5.3348 0.0000
0.0000 0.0000 5.3348
Cs As Nb
1 3 1
direct
0.0000 0.0000 0.0000
0.0000 0.0000 0.5000
0.0000 0.5000 0.0000
0.5000 0.0000 0.0000
0.5000 0.5000 0.5000


No. 9
Cs2NiAs2 GGA-PBEsol relaxed; magnetization = 0.0000 μB/atom; calculated total energy = -0.2995 Ry per atom; symmetry = Cmcm, No. 63; formation energy from the elements = -0.424 eV per atom; crystal system = orthorhombic
1.0
-3.1977 -0.1203 -5.1211
0.5206 -7.0357 -0.1598
-5.8424 -4.0562 3.7435
Cs As Ni
4 4 2
direct
0.2500 0.2081 0.5838
0.2500 0.5949 0.8103
0.7500 0.4051 0.1897
0.7500 0.7919 0.4162
0.2500 0.7375 0.1818
0.7500 0.9192 0.8182
0.7500 0.2625 0.8182
0.2500 0.0808 0.1818
0.0000 0.0000 0.0000
0.5000 0.0000 0.0000


No. 10
CsNiAsSe2 GGA-PBEsol relaxed; magnetization = 0.0000 μB/atom; E_form (uncorrected) = -103 meV per atom; calculated total energy = -0.3002 Ry per atom; symmetry = P4/mmm, No. 123; crystal system = tetragonal
1.0
4.4813 0.0000 0.0000
0.0000 5.1026 0.0000
0.0000 0.0000 5.1026
Ni Se Cs As
1 2 1 1
direct
0.0000 0.0000 0.0000
0.0000 0.5000 0.0000
0.0000 0.0000 0.5000
0.5000 0.5000 0.5000
0.5000 0.0000 0.0000


No. 11
Cs2TiNiAs GGA-PBEsol relaxed; magnetization = 0.3745 μB/atom; calculated total energy = -0.2483 Ry per atom; symmetry = P4/mmm, No. 123; formation energy from the elements = 0.916 eV per atom; crystal system = tetragonal
1.0
-2.3025 3.2158 -2.4993
-5.1342 -2.2601 1.8219
0.0450 3.6393 4.6412
As Cs Ni Ti
1 2 1 1
direct
0.5000 0.5000 0.5000
0.0000 0.5000 0.0000
0.0000 0.0000 0.5000
0.0000 0.0000 0.0000
0.5000 0.0000 0.0000


No. 12
CsAsO3 GGA-PBEsol relaxed; magnetization = 0.0016 μB/atom; E_form (uncorrected) = -832 meV per atom; calculated total energy = -0.3815 Ry per atom; symmetry = Pm-3m, No. 221; crystal system = cubic
1.0
-2.3085 -2.8955 -1.5317
2.6258 -0.5155 -2.9830
1.9583 -2.7220 2.1943
As O Cs
1 3 1
direct
0.5000 0.5000 0.5000
0.0000 0.5000 0.5000
0.5000 0.5000 0.0000
0.5000 0.0000 0.5000
0.0000 0.0000 0.0000


Question: What is the formula in the second record?
Answer: CsAsN2


Copy entry 7 word for word.
CsNb3As GGA-PBEsol relaxed; magnetization = 0.0003 μB/atom; calculated total energy = -0.4754 Ry per atom; symmetry = Pm-3m, No. 221; formation energy from the elements = 1.234 eV per atom; crystal system = cubic
1.0
-2.8766 3.6544 1.5994
-3.1300 -3.2902 1.8882
2.4731 0.0865 4.2501
As Nb Cs
1 3 1
direct
0.0000 0.0000 0.0000
0.5000 0.0000 0.0000
0.0000 0.5000 0.0000
0.0000 0.0000 0.5000
0.5000 0.5000 0.5000